DFT (PBE with a Hubbard U) results for crystalline Rb2PmVO4 at its relaxed geometry.

Results
- electronic total energy (eV/atom) = -6.3776
- mass density (g/cm³) = 4.3
- space group = I-4
- crystal system = tetragonal

a = 6.176 Å, b = 6.176 Å, c = 6.176 Å
α = 119.73°, β = 119.73°, γ = 90.46°
Element x y z (fractional)
1 Rb 0.000 0.000 0.000
2 Rb 0.750 0.250 0.500
3 Pm 0.250 0.750 0.500
4 V 0.500 0.500 0.000
5 O 0.246 0.616 0.090
6 O 0.384 0.474 0.630
7 O 0.526 0.155 0.910
8 O 0.845 0.754 0.370